Rb2HfSnSe4: relaxed, GGA-PBE.

Computed properties:
ρ = 4.08 Mg/m³
DOS(E_F) = 0.00 states/eV per cell
E_tot = -4.781 eV per atom
E_form (uncorrected) = -1.05 eV per atom

Cell and atoms, written as CIF:
```
data_Rb2HfSnSe4
_chemical_formula_sum 'Rb4 Hf2 Sn2 Se8'
_symmetry_space_group_name_H-M 'P 1'
_symmetry_Int_Tables_number 1
_cell_length_a 7.323
_cell_length_b 8.209
_cell_length_c 12.421
_cell_angle_alpha 82.44
_cell_angle_beta 72.85
_cell_angle_gamma 63.51
loop_
_symmetry_equiv_pos_as_xyz
'x,y,z'
loop_
_atom_site_label
_atom_site_type_symbol
_atom_site_fract_x
_atom_site_fract_y
_atom_site_fract_z
Rb1 Rb 0.183 0.000 0.633
Rb2 Rb 0.817 0.000 0.367
Rb3 Rb 0.567 0.500 0.867
Rb4 Rb 0.933 0.500 0.133
Hf1 Hf 0.750 0.500 0.500
Hf2 Hf 0.000 0.000 0.000
Sn1 Sn 0.250 0.500 0.500
Sn2 Sn 0.500 0.000 0.000
Se1 Se 0.251 0.804 0.115
Se2 Se 0.170 0.196 0.885
Se3 Se 0.945 0.804 0.885
Se4 Se 0.634 0.196 0.115
Se5 Se 0.499 0.696 0.385
Se6 Se 0.580 0.304 0.615
Se7 Se 0.805 0.696 0.615
Se8 Se 0.116 0.304 0.385
```